# PBE CrNiCl, optimized geometry
data_CrNiCl
_chemical_formula_sum 'Cr1 Ni1 Cl1'
_cell_length_a 3.1558
_cell_length_b 3.1558
_cell_length_c 5.6717
_cell_angle_alpha 90.00
_cell_angle_beta 90.00
_cell_angle_gamma 120.00
_symmetry_space_group_name_H-M 'P 3 m 1'
_symmetry_Int_Tables_number 156
_symmetry_space_group_name_Hall 'P 3 -2"'
loop_
_atom_site_label
_atom_site_fract_x
_atom_site_fract_y
_atom_site_fract_z
Cr1 0.0000 0.0000 0.0000
Ni1 0.6667 0.3333 0.2668
Cl1 0.3333 0.6667 0.7163
# - uncorrected formation energy (meV per atom) = 139
# - density (g cm⁻³) = 4.96
# - magnetic moment (μB/cell) = 3.0
# - crystal system = trigonal
# - excess energy over the best structure of this formula in the dataset (meV/atom) = 0